[1]
Below is an optimized crystal structure of LiCePu, with properties calculated at the GGA-PBE level.

Cell: 3.2138 3.2138 8.3894 Å, 90.00 90.00 120.00°
Closest atoms and distances in Å follow each position.
Positions (direct):
Pu1 0.6667 0.3333 0.3328  6 Pu 3.21, 3 Li 3.32, 3 Ce 3.33
Ce1 0.3333 0.6667 0.6629  6 Ce 3.21, 3 Pu 3.33, 3 Li 3.41
Li1 0.0000 0.0000 0.0043  6 Li 3.21, 3 Pu 3.32, 3 Ce 3.41

Results
The calculation puts the total magnetic moment at 5.3 Bohr magnetons per cell. The calculation puts the density of states at the Fermi level at 3.37 states/eV per atom. Its formation energy is 23.4 kJ per mole of atoms. As for the space group: P3m1 (156). The distance to the lowest polymorph of the same formula comes out at 3 meV per atom.


[2]
Below is an optimized crystal structure of Ce2ThPN5, with properties calculated at the GGA-PBE level.

Cell: 5.6273 6.5198 6.5198 Å, 90.00 90.00 90.00°
Closest atoms and distances in Å follow each position.
Positions (direct):
N1 0.7819 0.6381 0.8619  1 P 1.77
N2 0.7819 0.3619 0.1381  1 P 1.77
N3 0.2181 0.1381 0.6381  1 P 1.77
N4 0.2181 0.8619 0.3619  1 P 1.77
N5 0.2181 0.3619 0.1381  1 P 1.77
N6 0.5000 0.5000 0.5000  4 Ce 2.41
N7 0.5000 0.0000 0.0000  4 Ce 2.41
N8 0.7819 0.1381 0.6381  1 P 1.77
N9 0.2181 0.6381 0.8619  1 P 1.77
N10 0.7819 0.8619 0.3619  1 P 1.77
Th1 0.0000 0.5000 0.5000  10 N 2.81
Th2 0.0000 0.0000 0.0000  10 N 2.81
Ce1 0.5000 0.1753 0.3247  8 N 2.34-2.60
Ce2 0.5000 0.3247 0.8247  8 N 2.34-2.60
Ce3 0.5000 0.6753 0.1753  8 N 2.34-2.60
Ce4 0.5000 0.8247 0.6753  8 N 2.34-2.60
P1 0.0000 0.5000 0.0000  4 N 1.77
P2 0.0000 0.0000 0.5000  4 N 1.77

Results
The calculation puts the total magnetic moment at 0.0 Bohr magnetons per cell. The calculation puts the density of states at the Fermi level at 0.69 states/eV per atom. For the energy relative to the elements, uncorrected, the calculation gives -1041 meV per atom. As for the space group: P4/mbm (127).


[3]
Below is an optimized crystal structure of ZrTaIn2, with properties calculated at the GGA-PBE level.

Cell: 6.7897 5.4518 3.0239 Å, 90.20 63.20 119.85°
Closest atoms and distances in Å follow each position.
Positions (direct):
Ta1 0.0000 0.5000 0.5000  2 Ta 3.02, 2 Zr 3.03, 8 In 3.11-3.12
In1 0.0000 0.0000 0.0000  4 In 3.02-3.03, 4 Zr 3.11-3.12, 4 Ta 3.11-3.12
In2 0.5000 0.0000 0.5000  4 In 3.02-3.03, 4 Ta 3.11-3.12, 4 Zr 3.11-3.12
Zr1 0.5000 0.5000 0.0000  2 Zr 3.02, 2 Ta 3.03, 8 In 3.11-3.12

Results
The calculation puts the total magnetic moment at 0.0 Bohr magnetons per cell. The calculation puts the density of states at the Fermi level at 0.53 states/eV per atom. Its formation energy is -1.1 kJ per mole of atoms. As for the space group: C2/m (12). The distance to the lowest polymorph of the same formula comes out at 19 meV per atom.


[4]
Below is an optimized crystal structure of La2MnP3Ir4, with properties calculated at the GGA-PBE level.

Cell: 4.1508 4.1508 9.9906 Å, 90.00 90.00 90.00°
Closest atoms and distances in Å follow each position.
Positions (direct):
Ir1 0.5000 0.0000 0.6259  3 P 2.37-2.43, 2 Mn 2.43
Ir2 0.5000 0.5000 0.0000  4 P 2.49
Ir3 0.0000 0.0000 0.0000  4 P 2.49
Ir4 0.0000 0.5000 0.3741  3 P 2.37-2.43, 2 Mn 2.43
P1 0.0000 0.5000 0.1368  5 Ir 2.37-2.49
P2 0.5000 0.0000 0.8632  5 Ir 2.37-2.49
P3 0.0000 0.0000 0.5000  4 Ir 2.43
La1 0.0000 0.5000 0.7453  6 P 3.16-3.21, 8 Ir 3.17-3.28, 2 Mn 3.21
La2 0.5000 0.0000 0.2547  6 P 3.16-3.21, 8 Ir 3.17-3.28, 2 Mn 3.21
Mn1 0.5000 0.5000 0.5000  4 Ir 2.43

Results
The calculation puts the total magnetic moment at 2.0 Bohr magnetons per cell. The calculation puts the density of states at the Fermi level at 0.51 states/eV per atom. Its formation energy is -84.4 kJ per mole of atoms. As for the space group: P-4m2 (115).


[5]
Below is an optimized crystal structure of Sr3TaHg, with properties calculated at the GGA-PBE level.

Cell: 5.9426 5.9426 5.9426 Å, 90.00 90.00 90.00°
Closest atoms and distances in Å follow each position.
Positions (direct):
Hg1 0.5000 0.5000 0.5000  12 Sr 4.20
Sr1 0.0000 0.5000 0.0000  2 Ta 2.97
Sr2 0.0000 0.0000 0.5000  2 Ta 2.97
Sr3 0.5000 0.0000 0.0000  2 Ta 2.97
Ta1 0.0000 0.0000 0.0000  6 Sr 2.97

Results
The calculation puts the total magnetic moment at 0.0 Bohr magnetons per cell. The calculation puts the density of states at the Fermi level at 0.86 states/eV per atom. Its formation energy is 85.5 kJ per mole of atoms. As for the space group: Pm-3m (221). The distance to the lowest polymorph of the same formula comes out at 0 meV per atom.


[6]
Below is an optimized crystal structure of MnTeRh2, with properties calculated at the GGA-PBE level.

Cell: 4.7621 4.7621 4.7621 Å, 128.94 128.92 75.13°
Closest atoms and distances in Å follow each position.
Positions (direct):
Te1 0.7500 0.2500 0.5000  8 Rh 2.79, 4 Mn 2.90
Rh1 0.0000 0.0000 0.0000  4 Mn 2.79, 4 Te 2.79, 4 Rh 2.90
Rh2 0.5000 0.5000 0.0000  4 Mn 2.79, 4 Te 2.79, 4 Rh 2.90
Mn1 0.2500 0.7500 0.5000  8 Rh 2.79, 4 Te 2.90

Results
The calculation puts the total magnetic moment at 4.2 Bohr magnetons per cell. The calculation puts the density of states at the Fermi level at 0.68 states/eV per atom. For the energy relative to the elements, uncorrected, the calculation gives -132 meV per atom. As for the space group: I4/mmm (139).